[1]
Density functional theory data (GGA-PBE) for LiDyF4 after structural relaxation.

Unit cell a=6.0478 b=6.0478 c=6.0478 alpha=107.21 beta=107.21 gamma=114.10
Fractional coordinates of all 12 atoms:
Li  0.0000  0.0000  0.0000
Li  0.7500  0.2500  0.5000
Dy  0.2360  0.7360  0.5000
Dy  0.4860  0.4860  0.0000
F  0.0451  0.2464  0.7987
F  0.4478  0.2464  0.2013
F  0.5017  0.1954  0.6937
F  0.5017  0.8081  0.3063
F  0.5581  0.7517  0.8063
F  0.9454  0.7517  0.1937
F  0.9964  0.2951  0.2987
F  0.9964  0.6978  0.7013

- Calculated total energy: -72.1 eV for the cell shown
- M_tot: 0.00 μB per atom

***

[2]
Density functional theory data (GGA-PBE) for LiDy2F7 after structural relaxation.

Unit cell a=10.5075 b=10.5075 c=10.5075 alpha=21.64 beta=21.64 gamma=21.64
Fractional coordinates of all 10 atoms:
Li  0.0000  0.0000  0.0000
Dy  0.4281  0.4281  0.4281
Dy  0.5719  0.5719  0.5719
F  0.0761  0.0761  0.0761
F  0.2230  0.2230  0.2230
F  0.3590  0.3590  0.3590
F  0.5000  0.5000  0.5000
F  0.6410  0.6410  0.6410
F  0.7770  0.7770  0.7770
F  0.9239  0.9239  0.9239

- Calculated total energy: -62.5 eV for the cell shown
- M_tot: 0.01 μB per atom